A plane-wave DFT calculation with PBE was carried out for LiNi3H6 after structural relaxation. Values from VASP.

```
&SYSTEM
  ibrav = 0, nat = 20, ntyp = 3
/
ATOMIC_SPECIES
Li 6.94 Li.upf
Ni 58.69 Ni.upf
H 1.01 H.upf
CELL_PARAMETERS angstrom
-3.165 3.057 -0.990
-3.424 -2.544 3.093
2.217 3.388 3.371
ATOMIC_POSITIONS crystal
Li 0.970 0.193 0.807
Li 0.470 0.807 0.193
Ni 0.487 0.911 0.708
Ni 0.987 0.708 0.911
Ni 0.371 0.403 0.597
Ni 0.871 0.597 0.403
Ni 0.987 0.089 0.292
Ni 0.487 0.292 0.089
H 0.172 0.692 0.625
H 0.672 0.625 0.692
H 0.249 0.484 0.915
H 0.749 0.915 0.484
H 0.264 0.014 0.986
H 0.563 0.224 0.776
H 0.063 0.776 0.224
H 0.764 0.986 0.014
H 0.249 0.085 0.516
H 0.749 0.516 0.085
H 0.172 0.375 0.308
H 0.672 0.308 0.375
```

***

A plane-wave DFT calculation with PBE was carried out for LiTbPuHg after structural relaxation. Values from VASP.

Results
**Formation energy from the elements**: 10 meV/atom

```
&SYSTEM
  ibrav = 0, nat = 4, ntyp = 4
/
ATOMIC_SPECIES
Li 6.94 Li.upf
Tb 158.93 Tb.upf
Hg 200.59 Hg.upf
Pu 244.00 Pu.upf
CELL_PARAMETERS angstrom
5.262 0.000 0.000
2.631 4.557 0.000
2.631 1.519 4.297
ATOMIC_POSITIONS crystal
Li 0.000 0.000 0.000
Tb 0.750 0.750 0.750
Hg 0.500 0.500 0.500
Pu 0.250 0.250 0.250
```

***

A plane-wave DFT calculation with PBE was carried out for Li2PrCdAg4 after structural relaxation. Values from VASP.

Results
**Formation energy from the elements**: -157 meV/atom

```
&SYSTEM
  ibrav = 0, nat = 8, ntyp = 4
/
ATOMIC_SPECIES
Li 6.94 Li.upf
Pr 140.91 Pr.upf
Cd 112.41 Cd.upf
Ag 107.87 Ag.upf
CELL_PARAMETERS angstrom
-4.318 0.635 1.487
-2.057 -3.238 2.559
1.055 3.078 8.898
ATOMIC_POSITIONS crystal
Li 0.766 0.766 0.701
Li 0.234 0.234 0.299
Pr 0.000 0.000 0.000
Cd 0.500 0.500 0.500
Ag 0.398 0.398 0.806
Ag 0.879 0.879 0.363
Ag 0.121 0.121 0.637
Ag 0.602 0.602 0.194
```

***

A plane-wave DFT calculation with PBE was carried out for Cs3Ac3SnO8 after structural relaxation. Values from VASP.

Results
**Formation energy (no corrections)**: -3339 kJ/mol of formula units

```
&SYSTEM
  ibrav = 0, nat = 15, ntyp = 4
/
ATOMIC_SPECIES
Cs 132.91 Cs.upf
Ac 227.00 Ac.upf
Sn 118.71 Sn.upf
O 16.00 O.upf
CELL_PARAMETERS angstrom
-7.100 1.910 -1.581
1.562 -6.909 2.528
0.450 6.199 5.468
ATOMIC_POSITIONS crystal
Cs 0.000 0.000 0.000
Cs 0.000 0.500 0.000
Cs 0.500 0.500 0.000
Ac 0.500 0.000 0.500
Ac 0.500 0.500 0.500
Ac 0.000 0.500 0.500
Sn 0.000 0.000 0.500
O 0.277 0.553 0.330
O 0.723 0.447 0.670
O 0.801 0.603 0.340
O 0.199 0.397 0.660
O 0.801 0.039 0.340
O 0.199 0.961 0.660
O 0.238 0.039 0.340
O 0.762 0.961 0.660
```

***

A plane-wave DFT calculation with PBE was carried out for CaCoAu2 after structural relaxation. Values from VASP.

Results
**Formation energy from the elements**: -64 meV/atom

```
&SYSTEM
  ibrav = 0, nat = 4, ntyp = 3
/
ATOMIC_SPECIES
Co 58.93 Co.upf
Ca 40.08 Ca.upf
Au 196.97 Au.upf
CELL_PARAMETERS angstrom
-2.431 -0.650 -2.495
2.540 -1.115 -2.184
-0.680 -5.805 2.175
ATOMIC_POSITIONS crystal
Co 0.500 0.500 0.808
Ca 0.000 0.000 0.495
Au 0.000 0.000 0.963
Au 0.500 0.500 0.234
```

***

no.,size of the total moment (μB per atom),VASP energy (eV per cell)
1,0.0000,-80.94
2,1.6137,-21.14
3,0.0000,-22.19
4,0.0000,-93.17
5,0.4280,-15.92